VASP calculation (PBE-GGA) on a geometry-optimized PtRh3F structure.

Unit cell a=4.847 b=4.847 c=4.847 alpha=90.00 beta=90.00 gamma=90.00
Site moments in Bohr magnetons follow the coordinates.
Element x y z (fractional)
1 Pt 0.000 0.000 0.000  0.56
2 Rh 0.000 0.500 0.000  1.00
3 Rh 0.500 0.000 0.000  0.55
4 Rh 0.000 0.000 0.500  1.55
5 F 0.500 0.500 0.500  0.03

M_tot in μB/f.u.: 3.790
Formation energy from raw total energies in eV per atom: 1.363
E above lowest polymorph in kJ per mole of atoms: 65.5
D(E_F) in states/eV/cell: 11.23